No. 1
Computed, not measured: a relaxed structure of BeTl2GeSe4 at the PBE level of DFT.

Cell and atoms, written as POSCAR:
```
BeTl2GeSe4
1.0
-1.3407 -5.6833 -0.9345
5.6257 -4.5791 1.0662
-3.7543 -3.9835 10.9013
Tl Se Ge Be
4 8 2 2
Cartesian
-1.2442 -8.9785 9.6117
-2.5151 -6.1181 3.3944
1.1044 -8.1089 0.9539
-2.5800 -3.5487 6.5724
3.7568 -5.7068 1.7361
1.7990 -7.4160 4.6129
0.5175 -10.3493 6.5510
-1.3032 -6.9773 6.3958
-0.0568 -12.4403 9.7647
-2.5210 -5.5499 9.7884
-0.1178 -4.7947 0.7766
0.0479 -3.7490 4.5062
-0.6704 -2.8416 -0.4673
0.6005 -5.7021 5.7501
0.0000 0.0000 0.0000
-0.0699 -8.5437 5.2828
```

Calculated values
Uncorrected energy = -60.94 eV for the cell shown
Energy relative to the elements, uncorrected = -0.432 eV per atom
Calculated volume = 29.3 A^3/atom
Symmetry = Fddd

---

No. 2
Computed, not measured: a relaxed structure of BeSi3Ge at the PBE level of DFT.

Cell and atoms, written as POSCAR:
```
BeSi3Ge
1.0
-4.2407 0.7555 -0.4936
-0.4985 0.0157 4.3069
0.7523 4.2693 0.0715
Be Si Ge
1 3 1
Cartesian
0.0000 0.0000 0.0000
0.3762 2.1347 0.0357
-0.2492 0.0079 2.1534
-2.1204 0.3778 -0.2468
-1.9934 2.5203 1.9424
```

Calculated values
Uncorrected energy = -21.06 eV for the cell shown
Energy relative to the elements, uncorrected = 0.711 eV per atom
Calculated volume = 16.3 A^3/atom
Symmetry = Pm-3m
Energy relative to the lowest polymorph listed for this composition = 0.0 meV per atom

---

Q: Among the records above, which one has the lowest energy relative to the elements, uncorrected?
A: BeTl2GeSe4

---

Q: Which of these has the highest calculated volume?
A: BeTl2GeSe4